[1]
Entry from the Alexandria database: crystalline ZnPtSe4 at its relaxed geometry (PBE).

Cell: 5.602 5.602 5.602 Å, 60.00 60.00 60.00°
Sites, in units of the cell vectors:
Zn  0.000  0.000  0.000
Pt  0.750  0.750  0.750
Se  0.376  0.376  0.376
Se  0.376  0.376  0.872
Se  0.376  0.872  0.376
Se  0.872  0.376  0.376

Crystal system: cubic
E_form (uncorrected) in eV/f.u.: 4.71
Raw total energy in eV per atom: -2.756
Symmetry: F-43m (216)
Size of the total moment in μB per cell: 0.0

[2]
Entry from the Alexandria database: crystalline ZnPt2Se at its relaxed geometry (PBE).

Cell: 7.063 7.063 7.063 Å, 29.66 29.66 29.66°
Sites, in units of the cell vectors:
Zn  0.000  0.000  0.000
Pt  0.258  0.258  0.258
Pt  0.510  0.510  0.510
Se  0.777  0.777  0.777

Crystal system: trigonal
E_form (uncorrected) in eV/f.u.: -0.18
Raw total energy in eV per atom: -4.254
Symmetry: R3m (160)
Size of the total moment in μB per cell: 0.0

[3]
Entry from the Alexandria database: crystalline Zn2PtSe at its relaxed geometry (PBE).

Cell: 2.891 2.891 8.048 Å, 90.00 90.00 90.11°
Sites, in units of the cell vectors:
Zn  0.000  0.000  0.000
Zn  0.500  0.500  0.232
Pt  0.000  0.000  0.446
Se  0.500  0.500  0.700

Crystal system: orthorhombic
E_form (uncorrected) in eV/f.u.: 0.11
Raw total energy in eV per atom: -2.991
Symmetry: Cmm2 (35)
Size of the total moment in μB per cell: 0.0

[4]
Entry from the Alexandria database: crystalline Zn2PtSe at its relaxed geometry (PBE).

Cell: 4.708 3.028 4.977 Å, 90.00 112.36 90.00°
Sites, in units of the cell vectors:
Zn  0.000  0.000  0.000
Zn  0.000  0.500  0.500
Pt  0.500  0.000  0.500
Se  0.500  0.500  0.000

Crystal system: monoclinic
E_form (uncorrected) in eV/f.u.: -0.13
Raw total energy in eV per atom: -3.051
Symmetry: P2/m (10)
Size of the total moment in μB per cell: 0.0

[5]
Entry from the Alexandria database: crystalline ZnPt2Se at its relaxed geometry (PBE).

Cell: 4.539 4.539 4.539 Å, 60.00 60.00 60.00°
Sites, in units of the cell vectors:
Zn  0.000  0.000  0.000
Pt  0.500  0.500  0.500
Pt  0.750  0.750  0.750
Se  0.250  0.250  0.250

Crystal system: cubic
E_form (uncorrected) in eV/f.u.: 0.57
Raw total energy in eV per atom: -4.067
Symmetry: F-43m (216)
Size of the total moment in μB per cell: 0.0

[6]
Entry from the Alexandria database: crystalline Zr2ZnPtSe at its relaxed geometry (PBE).

Cell: 4.958 4.958 4.501 Å, 90.00 90.00 90.00°
Sites, in units of the cell vectors:
Zr  0.000  0.500  0.000
Zr  0.500  0.000  0.000
Zn  0.000  0.000  0.500
Pt  0.500  0.500  0.500
Se  0.000  0.000  0.000

Crystal system: tetragonal
E_form (uncorrected) in eV/f.u.: 0.74
Raw total energy in eV per atom: -5.432
Symmetry: P4/mmm (123)
Size of the total moment in μB per cell: 0.0

[7]
Entry from the Alexandria database: crystalline ZrZn2PtSe at its relaxed geometry (PBE).

Cell: 4.745 4.745 5.133 Å, 90.00 90.00 90.00°
Sites, in units of the cell vectors:
Zr  0.000  0.000  0.000
Zn  0.000  0.500  0.500
Zn  0.500  0.000  0.500
Pt  0.000  0.000  0.500
Se  0.500  0.500  0.000

Crystal system: tetragonal
E_form (uncorrected) in eV/f.u.: -0.78
Raw total energy in eV per atom: -4.281
Symmetry: P4/mmm (123)
Size of the total moment in μB per cell: 0.0

[8]
Entry from the Alexandria database: crystalline ZrZnPtSe2 at its relaxed geometry (PBE).

Cell: 4.778 4.778 4.693 Å, 90.00 90.00 90.00°
Sites, in units of the cell vectors:
Zr  0.000  0.000  0.000
Zn  0.500  0.500  0.500
Pt  0.500  0.500  0.000
Se  0.000  0.500  0.500
Se  0.500  0.000  0.500

Crystal system: tetragonal
E_form (uncorrected) in eV/f.u.: 1.01
Raw total energy in eV per atom: -4.364
Symmetry: P4/mmm (123)
Size of the total moment in μB per cell: 0.0

[9]
Entry from the Alexandria database: crystalline ZrPt2Se at its relaxed geometry (PBE).

Cell: 5.256 5.256 4.407 Å, 101.95 101.95 39.53°
Sites, in units of the cell vectors:
Zr  0.000  0.000  0.000
Pt  0.335  0.335  0.619
Pt  0.588  0.588  0.519
Se  0.733  0.733  0.098

Crystal system: monoclinic
E_form (uncorrected) in eV/f.u.: -2.47
Raw total energy in eV per atom: -6.645
Symmetry: Cm (8)
Size of the total moment in μB per cell: 0.0

[10]
Entry from the Alexandria database: crystalline ZrPtSe at its relaxed geometry (PBE).

Cell: 11.786 11.786 11.786 Å, 18.44 18.44 18.44°
Sites, in units of the cell vectors:
Zr  0.071  0.071  0.071
Zr  0.929  0.929  0.929
Pt  0.357  0.357  0.357
Pt  0.643  0.643  0.643
Se  0.216  0.216  0.216
Se  0.784  0.784  0.784

Crystal system: trigonal
E_form (uncorrected) in eV/f.u.: -2.80
Raw total energy in eV per atom: -6.957
Symmetry: R-3m (166)
Size of the total moment in μB per cell: 0.0
Distance to the lowest polymorph of the same formula in eV per atom: 0.000

[11]
Entry from the Alexandria database: crystalline ZrPt2Se at its relaxed geometry (PBE).

Cell: 5.277 5.277 5.277 Å, 135.84 135.84 64.23°
Sites, in units of the cell vectors:
Zr  0.000  0.000  0.000
Pt  0.250  0.750  0.500
Pt  0.750  0.250  0.500
Se  0.500  0.500  0.000

Crystal system: tetragonal
E_form (uncorrected) in eV/f.u.: -2.56
Raw total energy in eV per atom: -6.668
Symmetry: I4/mmm (139)
Size of the total moment in μB per cell: 0.0

[12]
Entry from the Alexandria database: crystalline ZrPtSe2 at its relaxed geometry (PBE).

Cell: 3.679 3.679 6.436 Å, 90.00 90.00 90.00°
Sites, in units of the cell vectors:
Zr  0.000  0.000  0.000
Pt  0.500  0.500  0.220
Se  0.000  0.000  0.392
Se  0.500  0.500  0.832

Crystal system: tetragonal
E_form (uncorrected) in eV/f.u.: -3.33
Raw total energy in eV per atom: -6.222
Symmetry: P4mm (99)
Size of the total moment in μB per cell: 0.0
Distance to the lowest polymorph of the same formula in eV per atom: 0.107

[13]
Entry from the Alexandria database: crystalline ZrPtSe2 at its relaxed geometry (PBE).

Cell: 3.509 3.520 6.500 Å, 90.00 103.93 90.00°
Sites, in units of the cell vectors:
Zr  0.000  0.000  0.000
Pt  0.000  0.000  0.500
Se  0.348  0.500  0.761
Se  0.652  0.500  0.239

Crystal system: monoclinic
E_form (uncorrected) in eV/f.u.: -2.57
Raw total energy in eV per atom: -6.033
Symmetry: P2/m (10)
Size of the total moment in μB per cell: 0.0
Distance to the lowest polymorph of the same formula in eV per atom: 0.296

[14]
Entry from the Alexandria database: crystalline ZrPtSe at its relaxed geometry (PBE).

Cell: 4.521 4.521 4.521 Å, 60.00 60.00 60.00°
Sites, in units of the cell vectors:
Zr  0.000  0.000  0.000
Pt  0.250  0.250  0.250
Se  0.500  0.500  0.500

Crystal system: cubic
E_form (uncorrected) in eV/f.u.: -1.69
Raw total energy in eV per atom: -6.589
Symmetry: F-43m (216)
Size of the total moment in μB per cell: 0.0
Distance to the lowest polymorph of the same formula in eV per atom: 0.368

[15]
Entry from the Alexandria database: crystalline ZrPt4Se at its relaxed geometry (PBE).

Cell: 5.329 5.329 5.329 Å, 60.00 60.00 60.00°
Sites, in units of the cell vectors:
Zr  0.000  0.000  0.000
Pt  0.124  0.625  0.625
Pt  0.625  0.124  0.625
Pt  0.625  0.625  0.124
Pt  0.625  0.625  0.625
Se  0.250  0.250  0.250

Crystal system: cubic
E_form (uncorrected) in eV/f.u.: -2.08
Raw total energy in eV per atom: -6.379
Symmetry: F-43m (216)
Size of the total moment in μB per cell: 0.0

[16]
Entry from the Alexandria database: crystalline ZrPtSe2 at its relaxed geometry (PBE).

Cell: 4.513 4.513 3.539 Å, 90.00 90.00 90.00°
Sites, in units of the cell vectors:
Zr  0.000  0.000  0.000
Pt  0.500  0.500  0.000
Se  0.000  0.500  0.500
Se  0.500  0.000  0.500

Crystal system: tetragonal
E_form (uncorrected) in eV/f.u.: -2.47
Raw total energy in eV per atom: -6.007
Symmetry: P4/mmm (123)
Size of the total moment in μB per cell: 0.0
Distance to the lowest polymorph of the same formula in eV per atom: 0.322

[17]
Entry from the Alexandria database: crystalline Zr2PtSe at its relaxed geometry (PBE).

Cell: 4.955 4.955 4.955 Å, 130.96 118.43 82.44°
Sites, in units of the cell vectors:
Zr  0.244  0.244  0.000
Zr  0.756  0.756  0.000
Pt  0.500  0.000  0.500
Se  0.000  0.500  0.500

Crystal system: orthorhombic
E_form (uncorrected) in eV/f.u.: -3.37
Raw total energy in eV per atom: -7.499
Symmetry: Immm (71)
Size of the total moment in μB per cell: 0.0

[18]
Entry from the Alexandria database: crystalline ZrPt2Se at its relaxed geometry (PBE).

Cell: 6.840 6.840 6.840 Å, 32.21 32.21 32.21°
Sites, in units of the cell vectors:
Zr  0.000  0.000  0.000
Pt  0.249  0.249  0.249
Pt  0.751  0.751  0.751
Se  0.500  0.500  0.500

Crystal system: trigonal
E_form (uncorrected) in eV/f.u.: -1.66
Raw total energy in eV per atom: -6.444
Symmetry: R-3m (166)
Size of the total moment in μB per cell: 0.0

[19]
Entry from the Alexandria database: crystalline ZrPt2Se at its relaxed geometry (PBE).

Cell: 5.156 5.156 4.243 Å, 97.13 97.13 40.51°
Sites, in units of the cell vectors:
Zr  0.000  0.000  0.000
Pt  0.270  0.270  0.764
Pt  0.730  0.730  0.236
Se  0.500  0.500  0.500

Crystal system: monoclinic
E_form (uncorrected) in eV/f.u.: -2.77
Raw total energy in eV per atom: -6.721
Symmetry: C2/m (12)
Size of the total moment in μB per cell: 0.0

[20]
Entry from the Alexandria database: crystalline ZrPtSe2 at its relaxed geometry (PBE).

Cell: 8.483 8.483 8.483 Å, 147.07 147.07 47.26°
Sites, in units of the cell vectors:
Zr  0.000  0.000  0.000
Zr  0.750  0.250  0.500
Pt  0.250  0.750  0.500
Pt  0.500  0.500  0.000
Se  0.137  0.625  0.012
Se  0.375  0.387  0.512
Se  0.613  0.125  0.988
Se  0.875  0.863  0.488

Crystal system: tetragonal
E_form (uncorrected) in eV/f.u.: -2.29
Raw total energy in eV per atom: -5.962
Symmetry: I-42d (122)
Size of the total moment in μB per cell: 0.0
Distance to the lowest polymorph of the same formula in eV per atom: 0.367

[21]
Entry from the Alexandria database: crystalline ZrPtSe2 at its relaxed geometry (PBE).

Cell: 3.387 3.387 6.476 Å, 90.00 90.00 90.00°
Sites, in units of the cell vectors:
Zr  0.000  0.000  0.000
Pt  0.000  0.000  0.500
Se  0.500  0.500  0.239
Se  0.500  0.500  0.761

Crystal system: tetragonal
E_form (uncorrected) in eV/f.u.: -1.85
Raw total energy in eV per atom: -5.852
Symmetry: P4/mmm (123)
Size of the total moment in μB per cell: 0.0
Distance to the lowest polymorph of the same formula in eV per atom: 0.477

[22]
Entry from the Alexandria database: crystalline ZrPtSe at its relaxed geometry (PBE).

Cell: 5.240 5.240 5.240 Å, 140.97 140.97 56.39°
Sites, in units of the cell vectors:
Zr  0.000  0.000  0.000
Pt  0.345  0.345  0.000
Se  0.662  0.662  0.000

Crystal system: tetragonal
E_form (uncorrected) in eV/f.u.: -2.40
Raw total energy in eV per atom: -6.825
Symmetry: I4mm (107)
Size of the total moment in μB per cell: 0.0
Distance to the lowest polymorph of the same formula in eV per atom: 0.132

[23]
Entry from the Alexandria database: crystalline ZrPt2Se at its relaxed geometry (PBE).

Cell: 3.615 4.212 4.617 Å, 90.00 90.00 90.00°
Sites, in units of the cell vectors:
Zr  0.000  0.000  0.000
Pt  0.000  0.500  0.500
Pt  0.500  0.000  0.500
Se  0.500  0.500  0.000

Crystal system: orthorhombic
E_form (uncorrected) in eV/f.u.: -2.36
Raw total energy in eV per atom: -6.618
Symmetry: Pmmm (47)
Size of the total moment in μB per cell: 0.0

[24]
Entry from the Alexandria database: crystalline ZrPt2Se at its relaxed geometry (PBE).

Cell: 9.037 9.037 9.037 Å, 19.46 19.46 19.46°
Sites, in units of the cell vectors:
Zr  0.000  0.000  0.000
Pt  0.502  0.502  0.502
Pt  0.751  0.751  0.751
Se  0.250  0.250  0.250

Crystal system: trigonal
E_form (uncorrected) in eV/f.u.: -0.80
Raw total energy in eV per atom: -6.228
Symmetry: R3m (160)
Size of the total moment in μB per cell: 0.0

[25]
Entry from the Alexandria database: crystalline ZrPt2Se at its relaxed geometry (PBE).

Cell: 3.639 3.655 5.477 Å, 90.00 90.10 90.00°
Sites, in units of the cell vectors:
Zr  0.000  0.000  0.000
Pt  0.499  0.500  0.757
Pt  0.501  0.500  0.243
Se  0.000  0.000  0.500

Crystal system: monoclinic
E_form (uncorrected) in eV/f.u.: -3.03
Raw total energy in eV per atom: -6.785
Symmetry: P2/m (10)
Size of the total moment in μB per cell: 0.0

[26]
Entry from the Alexandria database: crystalline ZrPt2Se at its relaxed geometry (PBE).

Cell: 4.647 4.647 4.647 Å, 60.00 60.00 60.00°
Sites, in units of the cell vectors:
Zr  0.000  0.000  0.000
Pt  0.500  0.500  0.500
Pt  0.750  0.750  0.750
Se  0.250  0.250  0.250

Crystal system: cubic
E_form (uncorrected) in eV/f.u.: -2.20
Raw total energy in eV per atom: -6.578
Symmetry: F-43m (216)
Size of the total moment in μB per cell: 0.0

[27]
Entry from the Alexandria database: crystalline ZrPt2Se at its relaxed geometry (PBE).

Cell: 3.489 3.683 5.970 Å, 90.00 106.86 90.00°
Sites, in units of the cell vectors:
Zr  0.000  0.000  0.000
Pt  0.237  0.000  0.475
Pt  0.627  0.500  0.254
Se  0.395  0.500  0.789

Crystal system: monoclinic
E_form (uncorrected) in eV/f.u.: -2.56
Raw total energy in eV per atom: -6.670
Symmetry: Pm (6)
Size of the total moment in μB per cell: 0.0

[28]
Entry from the Alexandria database: crystalline ZrPt2Se at its relaxed geometry (PBE).

Cell: 4.928 4.928 4.928 Å, 132.76 123.73 76.46°
Sites, in units of the cell vectors:
Zr  0.000  0.000  0.000
Pt  0.288  0.788  0.500
Pt  0.553  0.553  0.000
Se  0.753  0.253  0.500

Crystal system: orthorhombic
E_form (uncorrected) in eV/f.u.: -2.33
Raw total energy in eV per atom: -6.611
Symmetry: Imm2 (44)
Size of the total moment in μB per cell: 0.0

[29]
Entry from the Alexandria database: crystalline Zr2PtSe at its relaxed geometry (PBE).

Cell: 7.142 7.142 7.142 Å, 30.99 30.99 30.99°
Sites, in units of the cell vectors:
Zr  0.243  0.243  0.243
Zr  0.757  0.757  0.757
Pt  0.500  0.500  0.500
Se  0.000  0.000  0.000

Crystal system: trigonal
E_form (uncorrected) in eV/f.u.: -4.00
Raw total energy in eV per atom: -7.656
Symmetry: R-3m (166)
Size of the total moment in μB per cell: 0.0

[30]
Entry from the Alexandria database: crystalline ZrPtSe2 at its relaxed geometry (PBE).

Cell: 5.918 5.918 5.918 Å, 41.22 41.22 41.22°
Sites, in units of the cell vectors:
Zr  0.000  0.000  0.000
Pt  0.500  0.500  0.500
Se  0.246  0.246  0.246
Se  0.754  0.754  0.754

Crystal system: trigonal
E_form (uncorrected) in eV/f.u.: -1.69
Raw total energy in eV per atom: -5.811
Symmetry: R-3m (166)
Size of the total moment in μB per cell: 0.0
Distance to the lowest polymorph of the same formula in eV per atom: 0.518